# 1
## SmPt4C (GGA-PBE)

Data for a geometry-optimized SmPt4C structure.

Computed properties:
Electronic total energy (eV per atom): -5.817
Total magnetization (μB per atom): 0.00

a = 8.6105 Å, b = 8.9895 Å, c = 3.1010 Å
α = 90.00°, β = 90.00°, γ = 90.00°
Space group Cmmm (No. 65)
Inequivalent atoms, fractional coordinates:
Sm1 0.0000 0.0000 0.0000
Pt1 0.0000 0.2709 0.5000
Pt2 0.1653 0.5000 0.0000
C1 0.0000 0.5000 0.5000

---

# 2
## KLuO2 (GGA-PBE)

Data for a geometry-optimized KLuO2 structure.

Computed properties:
Electronic total energy (eV per atom): -6.548
Total magnetization (μB per atom): 0.00

a = 6.8072 Å, b = 6.8354 Å, c = 6.1955 Å
α = 90.00°, β = 90.00°, γ = 90.00°
Space group Pbcm (No. 57)
Inequivalent atoms, fractional coordinates:
K1 0.1286 0.1023 0.2500
Lu1 0.3597 0.6612 0.2500
O1 0.1751 0.7500 0.0000
O2 0.4124 0.1382 0.7500

---

# 3
## YZr2Zn (GGA-PBE)

Data for a geometry-optimized YZr2Zn structure.

Computed properties:
Calculated formation energy (meV/atom): 89
Electronic total energy (eV per atom): -6.117
Total magnetization (μB per atom): 0.01

a = 7.0968 Å, b = 7.0968 Å, c = 7.0968 Å
α = 90.00°, β = 90.00°, γ = 90.00°
Space group F-43m (No. 216)
Inequivalent atoms, fractional coordinates:
Y1 0.0000 0.0000 0.0000
Zr1 0.0000 0.0000 0.5000
Zr2 0.2500 0.2500 0.7500
Zn1 0.2500 0.2500 0.2500

---

# 4
## GaOsNO (GGA-PBE)

Data for a geometry-optimized GaOsNO structure.

Computed properties:
Excess energy over the best structure of this formula in the dataset (eV/f.u.): 1.20
Electronic total energy (eV per atom): -7.055
Total magnetization (μB per atom): 0.00

a = 3.0927 Å, b = 5.9297 Å, c = 5.0554 Å
α = 90.00°, β = 90.00°, γ = 90.00°
Space group Pmc2_1 (No. 26)
Inequivalent atoms, fractional coordinates:
Ga1 0.0000 0.1574 0.0000
Os1 0.5000 0.4139 0.4779
N1 0.5000 0.2656 0.8411
O1 0.0000 0.1637 0.3790

---

# 5
## Hf2TaZn (GGA-PBE)

Data for a geometry-optimized Hf2TaZn structure.

Computed properties:
Calculated formation energy (meV/atom): 199
Electronic total energy (eV per atom): -8.058
Total magnetization (μB per atom): 0.00

a = 6.7027 Å, b = 6.7027 Å, c = 6.7027 Å
α = 90.00°, β = 90.00°, γ = 90.00°
Space group F-43m (No. 216)
Inequivalent atoms, fractional coordinates:
Hf1 0.0000 0.0000 0.0000
Hf2 0.2500 0.2500 0.2500
Ta1 0.0000 0.0000 0.5000
Zn1 0.2500 0.2500 0.7500

---

# 6
## Dy4BIBr2Cl2 (GGA-PBE)

Data for a geometry-optimized Dy4BIBr2Cl2 structure.

Computed properties:
Electronic total energy (eV per atom): -4.813
Total magnetization (μB per atom): 0.00

a = 17.3107 Å, b = 3.9298 Å, c = 8.5677 Å
α = 90.00°, β = 104.01°, γ = 90.00°
Space group C2/m (No. 12)
Inequivalent atoms, fractional coordinates:
Dy1 0.0006 0.0000 0.3032
Dy2 0.1476 0.5000 0.5740
B1 0.0000 0.5000 0.5000
I1 0.0000 0.5000 0.0000
Br1 0.1731 0.0000 0.8247
Cl1 0.1712 0.0000 0.3602

---

# 7
## TbSc3Te2C2 (GGA-PBE)

Data for a geometry-optimized TbSc3Te2C2 structure.

Computed properties:
Electronic total energy (eV per atom): -6.883
Total magnetization (μB per atom): 0.00

a = 3.6401 Å, b = 3.6401 Å, c = 13.4781 Å
α = 90.00°, β = 90.00°, γ = 120.00°
Space group P3m1 (No. 156)
Inequivalent atoms, fractional coordinates:
Tb1 0.0000 0.0000 0.0000
Sc1 0.0000 0.0000 0.6722
Sc2 0.6667 0.3333 0.1875
Sc3 0.6667 0.3333 0.4981
Te1 0.0000 0.0000 0.3429
Te2 0.6667 0.3333 0.8265
C1 0.3333 0.6667 0.0997
C2 0.3333 0.6667 0.5851

---

# 8
## Cu3N (GGA-PBE)

Data for a geometry-optimized Cu3N structure.

Computed properties:
Electronic total energy (eV per atom): -4.374

a = 7.4222 Å, b = 7.4222 Å, c = 7.3883 Å
α = 90.00°, β = 90.00°, γ = 90.00°
Space group P4/mmm (No. 123)
Inequivalent atoms, fractional coordinates:
Cu1 0.0000 0.2446 0.0000
Cu2 0.0000 0.2475 0.5000
Cu3 0.0000 0.5000 0.2543
Cu4 0.2539 0.5000 0.0000
Cu5 0.3273 0.3273 0.3286
N1 0.0000 0.0000 0.0000
N2 0.0000 0.0000 0.5000
N3 0.0000 0.5000 0.0000
N4 0.0000 0.5000 0.5000
N5 0.5000 0.5000 0.0000
N6 0.5000 0.5000 0.5000

---

# 9
## HoCo6Ge6 (GGA-PBE)

Data for a geometry-optimized HoCo6Ge6 structure.

Computed properties:
Electronic total energy (eV per atom): -6.114
Total magnetization (μB per atom): 0.00

a = 5.0907 Å, b = 5.0907 Å, c = 7.8319 Å
α = 90.00°, β = 90.00°, γ = 120.00°
Space group P6/mmm (No. 191)
Inequivalent atoms, fractional coordinates:
Ho1 0.0000 0.0000 0.0000
Co1 0.0000 0.5000 0.2512
Ge1 0.0000 0.0000 0.3447
Ge2 0.3333 0.6667 0.0000
Ge3 0.3333 0.6667 0.5000

---

# 10
## ZnGaCoHg (GGA-PBE)

Data for a geometry-optimized ZnGaCoHg structure.

Computed properties:
Excess energy over the best structure of this formula in the dataset (eV/f.u.): 0.00
Electronic total energy (eV per atom): -2.652
Total magnetization (μB per atom): 0.15

a = 6.2837 Å, b = 6.2837 Å, c = 6.2837 Å
α = 90.00°, β = 90.00°, γ = 90.00°
Space group F-43m (No. 216)
Inequivalent atoms, fractional coordinates:
Zn1 0.0000 0.0000 0.0000
Ga1 0.2500 0.2500 0.2500
Co1 0.0000 0.0000 0.5000
Hg1 0.2500 0.2500 0.7500

---

# 11
## W5N (GGA-PBE)

Data for a geometry-optimized W5N structure.

Computed properties:
Electronic total energy (eV per atom): -10.442
Total magnetization (μB per atom): 0.00

a = 5.1208 Å, b = 5.1208 Å, c = 4.6946 Å
α = 90.00°, β = 90.00°, γ = 120.00°
Space group P6/mmm (No. 191)
Inequivalent atoms, fractional coordinates:
W1 0.0000 0.5000 0.0000
W2 0.3333 0.6667 0.5000
N1 0.0000 0.0000 0.5000

---

# 12
## LaNd2Pt9 (GGA-PBE)

Data for a geometry-optimized LaNd2Pt9 structure.

Computed properties:
Calculated formation energy (meV/atom): -928
Electronic total energy (eV per atom): -6.674
Total magnetization (μB per atom): 0.00

a = 5.4712 Å, b = 5.4712 Å, c = 26.7760 Å
α = 90.00°, β = 90.00°, γ = 120.00°
Space group R-3m (No. 166, hexagonal axes)
Inequivalent atoms, fractional coordinates:
La1 0.0000 0.0000 0.0000
Nd1 0.0000 0.0000 0.1397
Pt1 0.0000 0.0000 0.3329
Pt2 0.0000 0.0000 0.5000
Pt3 0.0039 0.5020 0.9152

---

# 13
## NdGdNO (GGA-PBE)

Data for a geometry-optimized NdGdNO structure.

Computed properties:
Excess energy over the best structure of this formula in the dataset (eV/f.u.): 1.81
Electronic total energy (eV per atom): -7.339
Total magnetization (μB per atom): 0.20

a = 4.3028 Å, b = 4.3028 Å, c = 8.4259 Å
α = 90.00°, β = 90.00°, γ = 90.00°
Space group P4/nmm (No. 129, origin choice 2)
Inequivalent atoms, fractional coordinates:
Nd1 0.2500 0.2500 0.1165
Gd1 0.2500 0.7500 0.5000
N1 0.2500 0.2500 0.6185
O1 0.2500 0.7500 0.0000

---

# 14
## SmYSi3Au (GGA-PBE)

Data for a geometry-optimized SmYSi3Au structure.

Computed properties:
Excess energy over the best structure of this formula in the dataset (eV/f.u.): 0.00
Electronic total energy (eV per atom): -5.910
Total magnetization (μB per atom): 0.00

a = 8.2088 Å, b = 8.3491 Å, c = 14.2818 Å
α = 90.00°, β = 90.00°, γ = 90.00°
Space group Fmmm (No. 69)
Inequivalent atoms, fractional coordinates:
Sm1 0.0000 0.2427 0.0000
Y1 0.2500 0.2500 0.2500
Si1 0.0000 0.0000 0.1643
Si2 0.2465 0.0000 0.0822
Au1 0.0000 0.0000 0.3325

---

# 15
## CdCoSiOs (GGA-PBE)

Data for a geometry-optimized CdCoSiOs structure.

Computed properties:
Excess energy over the best structure of this formula in the dataset (eV/f.u.): 0.00
Electronic total energy (eV per atom): -5.881
Total magnetization (μB per atom): 0.00

a = 6.0633 Å, b = 6.0633 Å, c = 6.0633 Å
α = 90.00°, β = 90.00°, γ = 90.00°
Space group F-43m (No. 216)
Inequivalent atoms, fractional coordinates:
Cd1 0.0000 0.0000 0.0000
Co1 0.2500 0.2500 0.7500
Si1 0.0000 0.0000 0.5000
Os1 0.2500 0.2500 0.2500

---

# 16
## AlCoCu2 (GGA-PBE)

Data for a geometry-optimized AlCoCu2 structure.

Computed properties:
Electronic total energy (eV per atom): -4.718
Total magnetization (μB per atom): 0.06

a = 5.7280 Å, b = 5.7280 Å, c = 5.7280 Å
α = 90.00°, β = 90.00°, γ = 90.00°
Space group F-43m (No. 216)
Inequivalent atoms, fractional coordinates:
Al1 0.0000 0.0000 0.0000
Co1 0.2500 0.2500 0.7500
Cu1 0.0000 0.0000 0.5000
Cu2 0.2500 0.2500 0.2500

---

# 17
## YHf2 (GGA-PBE)

Data for a geometry-optimized YHf2 structure.

Computed properties:
Calculated formation energy (meV/atom): 127
Excess energy over the best structure of this formula in the dataset (eV/f.u.): 0.00
Electronic total energy (eV per atom): -8.665
Total magnetization (μB per atom): 0.00

a = 3.1958 Å, b = 3.1958 Å, c = 14.8203 Å
α = 90.00°, β = 90.00°, γ = 90.00°
Space group I4/mmm (No. 139)
Inequivalent atoms, fractional coordinates:
Y1 0.0000 0.0000 0.0000
Hf1 0.0000 0.0000 0.3195

---

# 18
## Dy2HoTmGa2 (GGA-PBE)

Data for a geometry-optimized Dy2HoTmGa2 structure.

Computed properties:
Electronic total energy (eV per atom): -4.443
Total magnetization (μB per atom): 0.06

a = 5.1381 Å, b = 5.1381 Å, c = 6.5662 Å
α = 90.00°, β = 90.00°, γ = 120.00°
Space group P-6m2 (No. 187)
Inequivalent atoms, fractional coordinates:
Dy1 0.0000 0.0000 0.2487
Ho1 0.3333 0.6667 0.5000
Tm1 0.6667 0.3333 0.0000
Ga1 0.3333 0.6667 0.0000
Ga2 0.6667 0.3333 0.5000

---

# 19
## SiTeMo (GGA-PBE)

Data for a geometry-optimized SiTeMo structure.

Computed properties:
Excess energy over the best structure of this formula in the dataset (eV/f.u.): 0.00
Electronic total energy (eV per atom): -5.978
Total magnetization (μB per atom): 0.54

a = 6.3535 Å, b = 6.3535 Å, c = 6.3535 Å
α = 90.00°, β = 90.00°, γ = 90.00°
Space group F-43m (No. 216)
Inequivalent atoms, fractional coordinates:
Si1 0.0000 0.0000 0.0000
Te1 0.0000 0.0000 0.5000
Mo1 0.2500 0.2500 0.2500

---

# 20
## ZnO3 (GGA-PBE)

Data for a geometry-optimized ZnO3 structure.

Computed properties:
Excess energy over the best structure of this formula in the dataset (eV/f.u.): 0.00
Electronic total energy (eV per atom): -4.369

a = 5.3170 Å, b = 9.2530 Å, c = 3.9876 Å
α = 90.00°, β = 121.02°, γ = 90.00°
Space group C2/m (No. 12)
Inequivalent atoms, fractional coordinates:
Zn1 0.0000 0.1586 0.0000
O1 0.0595 0.3228 0.6997
O2 0.0770 0.0000 0.4038